Ca2AcPr | Alexandria | PBE | relaxed; offset from the most stable computed form = 179 meV/atom; space group = No. 166; size of the total moment = 0.60 μB/cell; DFT formation energy = 197 meV per atom
1.0
3.734 0.000 0.000
1.867 3.234 0.000
1.867 1.078 13.709
Ca Ac Pr
2 1 1
Cartesian
1.867 1.078 10.140
5.601 3.234 3.569
3.734 2.156 6.854
0.000 0.000 0.000

Nd5Al2Sb | Alexandria | PBE | relaxed; formation energy (no corrections) = -3.9 eV per formula unit; space group = No. 140; size of the total moment = 2.68 μB/cell
1.0
7.420 0.000 -3.503
-1.653 7.234 -3.503
-0.234 -0.294 9.115
Nd Al Sb
10 4 2
Cartesian
2.883 3.617 -3.503
0.000 0.000 0.000
2.960 2.210 -0.087
1.154 -0.054 5.699
6.403 3.378 -2.404
4.597 1.113 3.383
0.935 5.827 -1.273
-0.870 3.562 4.513
2.573 4.730 2.197
4.379 6.995 -3.590
1.366 6.367 -4.415
4.401 0.866 -2.590
5.507 4.483 -5.254
0.260 2.750 -1.751
1.325 1.662 2.806
4.208 5.279 -0.697

SrTa2Cd | Alexandria | PBE | relaxed; space group = No. 44; size of the total moment = 0.00 μB/cell; DFT formation energy = 744 meV per atom
1.0
-3.772 -5.028 -0.388
0.866 -4.608 4.204
-1.579 5.933 -1.399
Sr Ta Cd
1 2 1
Cartesian
-1.071 -1.707 2.341
-2.793 -9.264 3.669
-3.450 -2.117 0.124
-1.528 -5.068 2.007

Hf3CdC | Alexandria | PBE | relaxed; offset from the most stable computed form = 1105 meV/atom; space group = No. 99; size of the total moment = 0.00 μB/cell; DFT formation energy = 671 meV per atom
1.0
3.770 0.000 0.000
0.000 3.770 0.000
0.000 0.000 8.000
Hf Cd C
3 1 1
Cartesian
0.000 0.000 5.725
0.000 1.885 3.395
1.885 0.000 3.395
0.000 0.000 0.737
1.885 1.885 4.858

Rb2SrNbI6 | Alexandria | PBE | relaxed; formation energy (no corrections) = -10.8 eV per formula unit; space group = No. 225; size of the total moment = 3.00 μB/cell
1.0
8.662 0.000 0.000
0.000 8.662 0.000
4.331 4.331 6.125
I Nb Sr Rb
6 1 1 2
Cartesian
2.058 2.058 0.000
4.331 4.331 3.214
8.662 8.662 2.911
6.604 6.604 0.000
6.604 2.058 0.000
2.058 6.604 0.000
0.000 0.000 0.000
4.331 4.331 0.000
8.662 4.331 3.063
4.331 8.662 3.063

MnV2I6 | Alexandria | PBE | relaxed; formation energy (no corrections) = -4.0 eV per formula unit; space group = No. 12; size of the total moment = 11.00 μB/cell
1.0
4.131 0.000 0.000
-2.066 7.823 -2.730
0.000 -0.087 10.141
I Mn V
6 1 2
Cartesian
2.066 3.267 0.168
2.066 7.133 -0.490
0.000 5.754 2.663
0.000 0.602 7.901
2.066 1.981 4.748
0.000 4.468 7.243
0.000 -0.044 5.071
0.000 5.201 -0.135
2.066 2.535 7.546